(1)
Computed, not measured: a geometry-optimized TaRhW structure at the PBE level of DFT.

The space group is I4mm (No. 107) and the conventional cell measures 2.798, 2.798 and 12.338 Å, with angles of 90.00, 90.00 and 90.00 degrees. The asymmetric unit holds Ta at (0.000, 0.000, 0.000), Rh at (0.000, 0.000, 0.666) and W at (0.000, 0.000, 0.319).

Its polymorph energy (0 for the lowest one) is 0.000 eV/f.u. The density of states at the Fermi level is 2.8 states/eV/f.u. The calculation puts the total energy at -10.8837 eV/atom.

=====

(2)
Computed, not measured: a geometry-optimized ReRhW structure at the PBE level of DFT.

The space group is Imm2 (No. 44) and the conventional cell measures 2.697, 4.001 and 8.415 Å, with angles of 90.00, 90.00 and 90.00 degrees. The asymmetric unit holds Re at (0.000, 0.000, 0.000), Rh at (0.000, 0.000, 0.335) and W at (0.000, 0.000, 0.667).

Its polymorph energy (0 for the lowest one) is 0.044 eV/f.u. The density of states at the Fermi level is 2.6 states/eV/f.u. The calculation puts the total energy at -10.8907 eV/atom.

=====

(3)
Computed, not measured: a geometry-optimized ReAs2Cl structure at the PBE level of DFT.

The space group is Imm2 (No. 44) and the conventional cell measures 3.133, 4.137 and 14.318 Å, with angles of 90.00, 90.00 and 90.00 degrees. The asymmetric unit holds Re at (0.000, 0.000, 0.000), As at (0.000, 0.000, 0.542), As at (0.000, 0.500, 0.646) and Cl at (0.000, 0.500, 0.360).

The calculation puts the uncorrected formation energy at 23.6 kJ/mol of atoms. Its polymorph energy (0 for the lowest one) is 0.758 eV/f.u. The density of states at the Fermi level is 3.2 states/eV/f.u. The calculation puts the total energy at -5.6538 eV/atom.

=====

(4)
Computed, not measured: a geometry-optimized HRu structure at the PBE level of DFT.

The space group is P4/mmm (No. 123) and the conventional cell measures 2.742, 2.742 and 2.454 Å, with angles of 90.00, 90.00 and 90.00 degrees. The asymmetric unit holds H at (0.000, 0.000, 0.000) and Ru at (0.500, 0.500, 0.000).

The density of states at the Fermi level is 1.9 states/eV/f.u. The calculation puts the total energy at -5.7928 eV/atom.

=====

(5)
Computed, not measured: a geometry-optimized BaAsIr3 structure at the PBE level of DFT.

The space group is Pm-3m (No. 221) and the conventional cell measures 4.756, 4.756 and 4.756 Å, with angles of 90.00, 90.00 and 90.00 degrees. The asymmetric unit holds Ba at (0.000, 0.000, 0.000), As at (0.500, 0.500, 0.500) and Ir at (0.000, 0.500, 0.500).

Its polymorph energy (0 for the lowest one) is 0.000 eV/f.u. The density of states at the Fermi level is 1.3 states/eV/f.u. The calculation puts the total energy at -6.2073 eV/atom.

=====

(6)
Computed, not measured: a geometry-optimized Li3Au structure at the PBE level of DFT.

The space group is P4/mmm (No. 123) and the conventional cell measures 3.294, 3.294 and 6.161 Å, with angles of 90.00, 90.00 and 90.00 degrees. The asymmetric unit holds Li at (0.000, 0.000, 0.000), Li at (0.500, 0.500, 0.281) and Au at (0.000, 0.000, 0.500).

The density of states at the Fermi level is 1.3 states/eV/f.u. The calculation puts the total energy at -2.5872 eV/atom.